Model a:
Compound: U2PaGa
Source: the Alexandria database
Functional: PBE
Structure: optimized geometry

## Properties
The size of the total moment is 0.0 μB per cell.

Lattice parameters (Å, degrees): 4.295 4.295 4.546 90.00 90.00 90.00
Space group P4/mmm (No. 123)
Unique sites:
U (0.000, 0.500, 0.000)
Pa (0.000, 0.000, 0.500)
Ga (0.500, 0.500, 0.500)

***

Model b:
Compound: U2PaGa
Source: the Alexandria database
Functional: PBE
Structure: optimized geometry

## Properties
The size of the total moment is 0.0 μB per cell.

Lattice parameters (Å, degrees): 6.886 6.886 6.886 90.00 90.00 90.00
Space group Fm-3m (No. 225)
Unique sites:
U (0.250, 0.250, 0.250)
Pa (0.000, 0.000, 0.000)
Ga (0.000, 0.000, 0.500)

***

The structure with the least stability is model b.

***

Model a:
Compound: UPa2Ga
Source: the Alexandria database
Functional: PBE
Structure: optimized geometry

## Properties
The size of the total moment is 11.3 μB per cell.

Lattice parameters (Å, degrees): 7.036 7.036 7.036 90.00 90.00 90.00
Space group Fm-3m (No. 225)
Unique sites:
U (0.000, 0.000, 0.000)
Pa (0.250, 0.250, 0.250)
Ga (0.000, 0.000, 0.500)

***

Model b:
Compound: UPa2Ga
Source: the Alexandria database
Functional: PBE
Structure: optimized geometry

## Properties
The size of the total moment is 0.0 μB per cell.

Lattice parameters (Å, degrees): 4.558 4.558 4.209 90.00 90.00 90.00
Space group P4/mmm (No. 123)
Unique sites:
U (0.000, 0.000, 0.000)
Pa (0.000, 0.500, 0.500)
Ga (0.500, 0.500, 0.000)

***

Model c:
Compound: UPa2Ga
Source: the Alexandria database
Functional: PBE
Structure: optimized geometry

## Properties
The size of the total moment is 0.0 μB per cell.

Lattice parameters (Å, degrees): 3.685 3.685 6.511 90.00 90.00 90.00
Space group P4/mmm (No. 123)
Unique sites:
U (0.000, 0.000, 0.000)
Pa (0.500, 0.500, 0.248)
Ga (0.000, 0.000, 0.500)

***

Model d:
Compound: UPa2Ga
Source: the Alexandria database
Functional: PBE
Structure: optimized geometry

## Properties
The size of the total moment is 5.0 μB per cell.

Lattice parameters (Å, degrees): 3.0653 3.0653 33.1613 90.00 90.00 120.00
Space group R-3m (No. 166, hexagonal axes)
Unique sites:
U (0.0000, 0.0000, 0.0000)
Pa (0.0000, 0.0000, 0.2459)
Ga (0.0000, 0.0000, 0.5000)

***

The structure with the least stability is model d.

***

Model a:
Compound: PaV2Ga
Source: the Alexandria database
Functional: PBE
Structure: optimized geometry

## Properties
The size of the total moment is 0.0 μB per cell.

Lattice parameters (Å, degrees): 3.322 3.322 6.056 90.00 90.00 90.00
Space group P4/mmm (No. 123)
Unique sites:
Pa (0.000, 0.000, 0.000)
V (0.500, 0.500, 0.256)
Ga (0.000, 0.000, 0.500)

***

Model b:
Compound: PaV2Ga
Source: the Alexandria database
Functional: PBE
Structure: optimized geometry

## Properties
The size of the total moment is 0.8 μB per cell.

Lattice parameters (Å, degrees): 4.390 4.390 3.421 90.00 90.00 90.00
Space group P4/mmm (No. 123)
Unique sites:
Pa (0.000, 0.000, 0.000)
V (0.000, 0.500, 0.500)
Ga (0.500, 0.500, 0.000)

***

The structure with the least stability is model a.

***

Model a:
Compound: PaVGa
Source: the Alexandria database
Functional: PBE
Structure: optimized geometry

## Properties
The size of the total moment is 1.3 μB per cell.

Lattice parameters (Å, degrees): 2.780 2.780 15.973 90.00 90.00 90.00
Space group I4mm (No. 107)
Unique sites:
Pa (0.000, 0.000, 0.000)
V (0.000, 0.000, 0.646)
Ga (0.000, 0.000, 0.810)

***

Model b:
Compound: PaVGa
Source: the Alexandria database
Functional: PBE
Structure: optimized geometry

## Properties
The size of the total moment is 1.3 μB per cell.

Lattice parameters (Å, degrees): 5.367 5.427 7.535 90.00 90.00 90.00
Space group Imma (No. 74)
Unique sites:
Pa (0.000, 0.250, 0.144)
V (0.000, 0.000, 0.500)
Ga (0.250, 0.250, 0.750)

***

Model c:
Compound: PaVGa
Source: the Alexandria database
Functional: PBE
Structure: optimized geometry

## Properties
The size of the total moment is 0.0 μB per cell.

Lattice parameters (Å, degrees): 10.615 4.558 4.877 90.00 100.65 90.00
Space group C2/m (No. 12)
Unique sites:
Pa (0.122, 0.000, 0.304)
V (0.197, 0.000, 0.868)
Ga (0.082, 0.500, 0.766)

***

The structure with the least stability is model a.